Here is a relaxed LaBSeBr2 crystal from Alexandria. Energies are from PBE-GGA.

Geometry as CIF:
```
data_LaBSeBr2
_chemical_formula_sum 'La1 B1 Se1 Br2'
_cell_length_a 5.813
_cell_length_b 5.813
_cell_length_c 5.852
_cell_angle_alpha 90.00
_cell_angle_beta 90.00
_cell_angle_gamma 90.00
_space_group_name_H-M_alt 'P 1'
_space_group_IT_number 1
loop_
_space_group_symop_operation_xyz
'x,y,z'
loop_
_atom_site_label
_atom_site_type_symbol
_atom_site_fract_x
_atom_site_fract_y
_atom_site_fract_z
_atom_site_occupancy
B1 B 0.500 0.500 0.500 1
Se1 Se 0.000 0.000 0.500 1
Br1 Br 0.000 0.500 0.000 1
Br2 Br 0.500 0.000 0.000 1
La1 La 0.000 0.000 0.000 1
```

## Properties
Volume (A^3/atom): 39.554
Density (g/cm3): 3.262
Total energy (eV per cell): -18.8
Formation energy without anion corrections (eV/atom): -0.08
Space group: P4/mmm (123)